# CaZnPt2 | Alexandria | PBE | relaxed
# **Volume**: 72 Å³/cell
# **Final energy**: -4.28 eV per atom
# **SG**: F-43m
data_CaZnPt2
_symmetry_space_group_name_H-M 'P 1'
_symmetry_Int_Tables_number 1
_cell_length_a 4.662
_cell_length_b 4.662
_cell_length_c 4.662
_cell_angle_alpha 60.00
_cell_angle_beta 60.00
_cell_angle_gamma 60.00
loop_
_symmetry_equiv_pos_as_xyz
'x,y,z'
loop_
_atom_site_label
_atom_site_type_symbol
_atom_site_fract_x
_atom_site_fract_y
_atom_site_fract_z
Pt1 Pt 0.750 0.750 0.750
Pt2 Pt 0.000 0.000 0.000
Ca1 Ca 0.500 0.500 0.500
Zn1 Zn 0.250 0.250 0.250

***

# NpBi2Pd8 | Alexandria | PBE | relaxed
# **Volume**: 204 Å³/cell
# **Final energy**: -5.93 eV per atom
# **SG**: P-1
data_NpBi2Pd8
_symmetry_space_group_name_H-M 'P 1'
_symmetry_Int_Tables_number 1
_cell_length_a 5.389
_cell_length_b 5.432
_cell_length_c 7.148
_cell_angle_alpha 97.09
_cell_angle_beta 98.31
_cell_angle_gamma 95.08
loop_
_symmetry_equiv_pos_as_xyz
'x,y,z'
loop_
_atom_site_label
_atom_site_type_symbol
_atom_site_fract_x
_atom_site_fract_y
_atom_site_fract_z
Pd1 Pd 0.157 0.961 0.683
Pd2 Pd 0.636 0.511 0.190
Pd3 Pd 0.368 0.180 0.389
Pd4 Pd 0.364 0.489 0.810
Pd5 Pd 0.947 0.745 0.967
Pd6 Pd 0.843 0.039 0.317
Pd7 Pd 0.632 0.820 0.611
Pd8 Pd 0.053 0.255 0.033
Np1 Np 0.500 0.000 0.000
Bi1 Bi 0.813 0.351 0.662
Bi2 Bi 0.187 0.649 0.338

***

# Na3LiCe2S6 | Alexandria | PBE | relaxed
# **Volume**: 276 Å³/cell
# **Final energy**: -5.09 eV per atom
# **SG**: C2/m
# **Energy relative to the elements, uncorrected**: -1.549 eV/atom
data_Na3LiCe2S6
_symmetry_space_group_name_H-M 'P 1'
_symmetry_Int_Tables_number 1
_cell_length_a 6.965
_cell_length_b 6.965
_cell_length_c 6.970
_cell_angle_alpha 99.60
_cell_angle_beta 99.60
_cell_angle_gamma 119.95
loop_
_symmetry_equiv_pos_as_xyz
'x,y,z'
loop_
_atom_site_label
_atom_site_type_symbol
_atom_site_fract_x
_atom_site_fract_y
_atom_site_fract_z
S1 S 0.925 0.582 0.775
S2 S 0.733 0.733 0.227
S3 S 0.267 0.267 0.773
S4 S 0.075 0.418 0.225
S5 S 0.582 0.925 0.775
S6 S 0.418 0.075 0.225
Ce1 Ce 0.667 0.333 0.000
Ce2 Ce 0.333 0.667 0.000
Li1 Li 0.000 0.000 0.000
Na1 Na 0.162 0.838 0.500
Na2 Na 0.500 0.500 0.500
Na3 Na 0.838 0.162 0.500

***

# RbIn3W | Alexandria | PBE | relaxed
# **Volume**: 223 Å³/cell
# **Final energy**: -2.22 eV per atom
# **SG**: Pm-3m
data_RbIn3W
_symmetry_space_group_name_H-M 'P 1'
_symmetry_Int_Tables_number 1
_cell_length_a 6.061
_cell_length_b 6.061
_cell_length_c 6.061
_cell_angle_alpha 90.00
_cell_angle_beta 90.00
_cell_angle_gamma 90.00
loop_
_symmetry_equiv_pos_as_xyz
'x,y,z'
loop_
_atom_site_label
_atom_site_type_symbol
_atom_site_fract_x
_atom_site_fract_y
_atom_site_fract_z
W1 W 0.500 0.500 0.500
In1 In 0.000 0.000 0.500
In2 In 0.000 0.500 0.000
In3 In 0.500 0.000 0.000
Rb1 Rb 0.000 0.000 0.000

***

# Cs4Cu3F12 | Alexandria | PBE | relaxed
# **Volume**: 484 Å³/cell
# **Final energy**: -4.08 eV per atom
# **SG**: Im-3
# **Energy relative to the elements, uncorrected**: -2.076 eV/atom
data_Cs4Cu3F12
_symmetry_space_group_name_H-M 'P 1'
_symmetry_Int_Tables_number 1
_cell_length_a 8.567
_cell_length_b 8.567
_cell_length_c 8.567
_cell_angle_alpha 109.47
_cell_angle_beta 109.47
_cell_angle_gamma 109.47
loop_
_symmetry_equiv_pos_as_xyz
'x,y,z'
loop_
_atom_site_label
_atom_site_type_symbol
_atom_site_fract_x
_atom_site_fract_y
_atom_site_fract_z
F1 F 0.870 0.630 0.500
F2 F 0.130 0.630 0.760
F3 F 0.760 0.130 0.630
F4 F 0.630 0.500 0.870
F5 F 0.130 0.370 0.500
F6 F 0.240 0.870 0.370
F7 F 0.630 0.760 0.130
F8 F 0.870 0.370 0.240
F9 F 0.370 0.500 0.130
F10 F 0.500 0.870 0.630
F11 F 0.370 0.240 0.870
F12 F 0.500 0.130 0.370
Cu1 Cu 0.500 0.500 0.000
Cu2 Cu 0.000 0.500 0.500
Cu3 Cu 0.500 0.000 0.500
Cs1 Cs 0.000 0.000 0.500
Cs2 Cs 0.500 0.500 0.500
Cs3 Cs 0.000 0.500 0.000
Cs4 Cs 0.500 0.000 0.000

***

# LaAsRu2 | Alexandria | PBE | relaxed
# **Volume**: 71 Å³/cell
# **Final energy**: -7.05 eV per atom
# **SG**: P4/mmm
data_LaAsRu2
_symmetry_space_group_name_H-M 'P 1'
_symmetry_Int_Tables_number 1
_cell_length_a 3.141
_cell_length_b 3.141
_cell_length_c 7.237
_cell_angle_alpha 90.00
_cell_angle_beta 90.00
_cell_angle_gamma 90.00
loop_
_symmetry_equiv_pos_as_xyz
'x,y,z'
loop_
_atom_site_label
_atom_site_type_symbol
_atom_site_fract_x
_atom_site_fract_y
_atom_site_fract_z
Ru1 Ru 0.000 0.000 0.056
Ru2 Ru 0.000 0.000 0.444
La1 La 0.500 0.500 0.750
As1 As 0.500 0.500 0.250

***

# TaTi2Bi | Alexandria | PBE | relaxed
# **Volume**: 75 Å³/cell
# **Final energy**: -7.89 eV per atom
# **SG**: P4/mmm
data_TaTi2Bi
_symmetry_space_group_name_H-M 'P 1'
_symmetry_Int_Tables_number 1
_cell_length_a 3.653
_cell_length_b 4.538
_cell_length_c 4.538
_cell_angle_alpha 90.00
_cell_angle_beta 90.00
_cell_angle_gamma 90.00
loop_
_symmetry_equiv_pos_as_xyz
'x,y,z'
loop_
_atom_site_label
_atom_site_type_symbol
_atom_site_fract_x
_atom_site_fract_y
_atom_site_fract_z
Ti1 Ti 0.000 0.000 0.500
Ti2 Ti 0.000 0.500 0.000
Bi1 Bi 0.500 0.500 0.500
Ta1 Ta 0.500 0.000 0.000

***

# Ac6Te8I | Alexandria | PBE | relaxed
# **Volume**: 589 Å³/cell
# **Final energy**: -4.92 eV per atom
# **SG**: R-3
# **Energy relative to the elements, uncorrected**: -1.498 eV/atom
data_Ac6Te8I
_symmetry_space_group_name_H-M 'P 1'
_symmetry_Int_Tables_number 1
_cell_length_a 9.981
_cell_length_b 9.981
_cell_length_c 8.933
_cell_angle_alpha 56.04
_cell_angle_beta 56.04
_cell_angle_gamma 60.00
loop_
_symmetry_equiv_pos_as_xyz
'x,y,z'
loop_
_atom_site_label
_atom_site_type_symbol
_atom_site_fract_x
_atom_site_fract_y
_atom_site_fract_z
Te1 Te 0.101 0.420 0.705
Te2 Te 0.332 0.332 0.003
Te3 Te 0.420 0.774 0.705
Te4 Te 0.580 0.226 0.295
Te5 Te 0.226 0.899 0.295
Te6 Te 0.668 0.668 0.997
Te7 Te 0.774 0.101 0.705
Te8 Te 0.899 0.580 0.295
Ac1 Ac 0.273 0.579 0.218
Ac2 Ac 0.421 0.071 0.782
Ac3 Ac 0.071 0.727 0.782
Ac4 Ac 0.579 0.929 0.218
Ac5 Ac 0.727 0.421 0.782
Ac6 Ac 0.929 0.273 0.218
I1 I 0.000 0.000 0.000

***

# ZrScTlCu | Alexandria | PBE | relaxed
# **Volume**: 82 Å³/cell
# **Final energy**: -5.43 eV per atom
# **SG**: F-43m
data_ZrScTlCu
_symmetry_space_group_name_H-M 'P 1'
_symmetry_Int_Tables_number 1
_cell_length_a 4.881
_cell_length_b 4.881
_cell_length_c 4.881
_cell_angle_alpha 60.00
_cell_angle_beta 60.00
_cell_angle_gamma 60.00
loop_
_symmetry_equiv_pos_as_xyz
'x,y,z'
loop_
_atom_site_label
_atom_site_type_symbol
_atom_site_fract_x
_atom_site_fract_y
_atom_site_fract_z
Tl1 Tl 0.750 0.750 0.750
Cu1 Cu 0.250 0.250 0.250
Zr1 Zr 0.000 0.000 0.000
Sc1 Sc 0.500 0.500 0.500

***

# ZrRh | Alexandria | PBE | relaxed
# **Volume**: 77 Å³/cell
# **Final energy**: -8.49 eV per atom
# **SG**: P6_3/mmc
data_ZrRh
_symmetry_space_group_name_H-M 'P 1'
_symmetry_Int_Tables_number 1
_cell_length_a 3.469
_cell_length_b 3.469
_cell_length_c 7.396
_cell_angle_alpha 90.00
_cell_angle_beta 90.00
_cell_angle_gamma 120.00
loop_
_symmetry_equiv_pos_as_xyz
'x,y,z'
loop_
_atom_site_label
_atom_site_type_symbol
_atom_site_fract_x
_atom_site_fract_y
_atom_site_fract_z
Zr1 Zr 0.000 0.000 0.500
Zr2 Zr 0.000 0.000 0.000
Rh1 Rh 0.333 0.667 0.250
Rh2 Rh 0.667 0.333 0.750

***

# LaTa3F | Alexandria | PBE | relaxed
# **Volume**: 123 Å³/cell
# **Final energy**: -6.16 eV per atom
# **SG**: Pm-3m
# **Energy relative to the elements, uncorrected**: 2.311 eV/atom
data_LaTa3F
_symmetry_space_group_name_H-M 'P 1'
_symmetry_Int_Tables_number 1
_cell_length_a 4.970
_cell_length_b 4.970
_cell_length_c 4.970
_cell_angle_alpha 90.00
_cell_angle_beta 90.00
_cell_angle_gamma 90.00
loop_
_symmetry_equiv_pos_as_xyz
'x,y,z'
loop_
_atom_site_label
_atom_site_type_symbol
_atom_site_fract_x
_atom_site_fract_y
_atom_site_fract_z
Ta1 Ta 0.000 0.500 0.000
Ta2 Ta 0.000 0.000 0.500
Ta3 Ta 0.500 0.000 0.000
La1 La 0.000 0.000 0.000
F1 F 0.500 0.500 0.500

***

# LiTmCu17 | Alexandria | PBE | relaxed
# **Volume**: 256 Å³/cell
# **Final energy**: -4.04 eV per atom
# **SG**: R3m
data_LiTmCu17
_symmetry_space_group_name_H-M 'P 1'
_symmetry_Int_Tables_number 1
_cell_length_a 6.406
_cell_length_b 6.406
_cell_length_c 6.406
_cell_angle_alpha 82.32
_cell_angle_beta 82.32
_cell_angle_gamma 82.32
loop_
_symmetry_equiv_pos_as_xyz
'x,y,z'
loop_
_atom_site_label
_atom_site_type_symbol
_atom_site_fract_x
_atom_site_fract_y
_atom_site_fract_z
Cu1 Cu 0.696 0.300 0.002
Cu2 Cu 0.652 0.652 0.159
Cu3 Cu 0.300 0.002 0.696
Cu4 Cu 0.345 0.851 0.345
Cu5 Cu 0.996 0.996 0.501
Cu6 Cu 0.501 0.996 0.996
Cu7 Cu 0.002 0.696 0.300
Cu8 Cu 0.904 0.904 0.904
Cu9 Cu 0.099 0.099 0.099
Cu10 Cu 0.696 0.002 0.300
Cu11 Cu 0.300 0.696 0.002
Cu12 Cu 0.851 0.345 0.345
Cu13 Cu 0.345 0.345 0.851
Cu14 Cu 0.996 0.501 0.996
Cu15 Cu 0.159 0.652 0.652
Cu16 Cu 0.652 0.159 0.652
Cu17 Cu 0.002 0.300 0.696
Tm1 Tm 0.660 0.660 0.660
Li1 Li 0.342 0.342 0.342

***

# AcEr5Al3 | Alexandria | PBE | relaxed
# **Volume**: 488 Å³/cell
# **Final energy**: -4.44 eV per atom
# **SG**: P6_3/mcm
data_AcEr5Al3
_symmetry_space_group_name_H-M 'P 1'
_symmetry_Int_Tables_number 1
_cell_length_a 6.737
_cell_length_b 9.150
_cell_length_c 9.149
_cell_angle_alpha 120.00
_cell_angle_beta 90.00
_cell_angle_gamma 90.00
loop_
_symmetry_equiv_pos_as_xyz
'x,y,z'
loop_
_atom_site_label
_atom_site_type_symbol
_atom_site_fract_x
_atom_site_fract_y
_atom_site_fract_z
Er1 Er 0.000 0.667 0.333
Er2 Er 0.250 0.337 0.337
Er3 Er 0.750 0.663 0.663
Er4 Er 0.500 0.333 0.667
Er5 Er 0.250 0.663 0.000
Er6 Er 0.500 0.667 0.333
Er7 Er 0.250 0.000 0.663
Er8 Er 0.750 0.337 0.000
Er9 Er 0.750 0.000 0.337
Er10 Er 0.000 0.333 0.667
Al1 Al 0.750 0.340 0.340
Al2 Al 0.250 0.000 0.340
Al3 Al 0.250 0.340 0.000
Al4 Al 0.250 0.660 0.660
Al5 Al 0.750 0.000 0.660
Al6 Al 0.750 0.660 0.000
Ac1 Ac 0.000 0.000 0.000
Ac2 Ac 0.500 0.000 0.000

***

# SrSc2Ru | Alexandria | PBE | relaxed
# **Volume**: 88 Å³/cell
# **Final energy**: -5.71 eV per atom
# **SG**: Fm-3m
data_SrSc2Ru
_symmetry_space_group_name_H-M 'P 1'
_symmetry_Int_Tables_number 1
_cell_length_a 4.990
_cell_length_b 4.990
_cell_length_c 4.990
_cell_angle_alpha 60.00
_cell_angle_beta 60.00
_cell_angle_gamma 60.00
loop_
_symmetry_equiv_pos_as_xyz
'x,y,z'
loop_
_atom_site_label
_atom_site_type_symbol
_atom_site_fract_x
_atom_site_fract_y
_atom_site_fract_z
Ru1 Ru 0.500 0.500 0.500
Sc1 Sc 0.750 0.750 0.750
Sc2 Sc 0.250 0.250 0.250
Sr1 Sr 0.000 0.000 0.000

***

# Co5CuN4 | Alexandria | PBE | relaxed
# **Volume**: 199 Å³/cell
# **Final energy**: -7.02 eV per atom
# **SG**: Pmmn
# **Energy relative to the elements, uncorrected**: 0.268 eV/atom
data_Co5CuN4
_symmetry_space_group_name_H-M 'P 1'
_symmetry_Int_Tables_number 1
_cell_length_a 4.158
_cell_length_b 5.635
_cell_length_c 8.478
_cell_angle_alpha 90.00
_cell_angle_beta 90.00
_cell_angle_gamma 90.00
loop_
_symmetry_equiv_pos_as_xyz
'x,y,z'
loop_
_atom_site_label
_atom_site_type_symbol
_atom_site_fract_x
_atom_site_fract_y
_atom_site_fract_z
N1 N 0.992 0.733 0.500
N2 N 0.992 0.267 0.500
N3 N 0.511 0.000 0.797
N4 N 0.489 0.500 0.703
N5 N 0.008 0.233 0.000
N6 N 0.489 0.500 0.297
N7 N 0.008 0.767 0.000
N8 N 0.511 0.000 0.203
Co1 Co 0.708 0.000 0.000
Co2 Co 0.732 0.227 0.335
Co3 Co 0.292 0.500 0.500
Co4 Co 0.268 0.727 0.835
Co5 Co 0.268 0.727 0.165
Co6 Co 0.732 0.773 0.665
Co7 Co 0.732 0.773 0.335
Co8 Co 0.268 0.273 0.835
Co9 Co 0.268 0.273 0.165
Co10 Co 0.732 0.227 0.665
Cu1 Cu 0.280 0.000 0.500
Cu2 Cu 0.720 0.500 0.000

***

no.,size of the total moment (μB per formula unit)
1,0.00
2,3.19
3,0.00
4,3.64
5,1.03
6,0.00
7,0.00
8,0.00
9,0.73
10,0.00
11,0.00
12,0.00
13,0.00
14,0.00
15,0.00